Entry 1:
VASP calculation (PBE-GGA) on an optimized crystal structure of TbPr2Gd.

The value obtained for the size of the total moment is 7.34 μB per formula unit. The calculation puts the energy above the lowest structure with this stoichiometry at 0.0031 eV/atom. Its volume is 34.2 A^3/atom. The value obtained for the formation energy is 15.0 meV/atom. For the density of states at the Fermi level, the calculation gives 1.6471 states/eV/atom.

It has space group P4/mmm (No. 123), with a = 3.6590 Å, b = 3.6590 Å, c = 10.2309 Å, α = 90.00°, β = 90.00° and γ = 90.00°. The inequivalent atoms are Tb at (0.0000, 0.0000, 0.0000), Pr at (0.5000, 0.5000, 0.2484) and Gd at (0.0000, 0.0000, 0.5000).

---

Entry 2:
VASP calculation (PBE-GGA) on an optimized crystal structure of NiAgAu2.

The value obtained for the size of the total moment is 0.00 μB per formula unit. The calculation puts the energy above the lowest structure with this stoichiometry at 0.1200 eV/atom. Its volume is 16.4 A^3/atom. The value obtained for the formation energy is 147.0 meV/atom. For the density of states at the Fermi level, the calculation gives 0.5995 states/eV/atom.

It has space group F-43m (No. 216), with a = 6.4051 Å, b = 6.4051 Å, c = 6.4051 Å, α = 90.00°, β = 90.00° and γ = 90.00°. The inequivalent atoms are Ni at (0.0000, 0.0000, 0.0000), Ag at (0.2500, 0.2500, 0.2500), Au at (0.0000, 0.0000, 0.5000) and Au at (0.2500, 0.2500, 0.7500).

---

Entry 3:
VASP calculation (PBE-GGA) on an optimized crystal structure of PmSm14Tl.

The value obtained for the size of the total moment is 0.00 μB per formula unit. Its volume is 32.9 A^3/atom. The value obtained for the formation energy is -15.3 meV/atom. For the density of states at the Fermi level, the calculation gives 1.3259 states/eV/atom.

It has space group P4/mmm (No. 123), with a = 7.1838 Å, b = 7.1838 Å, c = 10.2062 Å, α = 90.00°, β = 90.00° and γ = 90.00°. The inequivalent atoms are Pm at (0.0000, 0.0000, 0.0000), Sm at (0.0000, 0.0000, 0.5000), Sm at (0.0000, 0.5000, 0.0000), Sm at (0.0000, 0.5000, 0.5000), Sm at (0.2510, 0.2510, 0.2471), Sm at (0.5000, 0.5000, 0.5000) and Tl at (0.5000, 0.5000, 0.0000).

---

Entry 4:
VASP calculation (PBE-GGA) on an optimized crystal structure of ReMo2PdC.

The value obtained for the size of the total moment is 0.00 μB per formula unit. Its volume is 21.3 A^3/atom. The value obtained for the formation energy is 2798.1 meV/atom. For the density of states at the Fermi level, the calculation gives 0.7037 states/eV/atom.

It has space group P4/mmm (No. 123), with a = 4.7028 Å, b = 4.7028 Å, c = 4.8152 Å, α = 90.00°, β = 90.00° and γ = 90.00°. The inequivalent atoms are Re at (0.0000, 0.0000, 0.0000), Mo at (0.0000, 0.5000, 0.0000), Pd at (0.0000, 0.0000, 0.5000) and C at (0.5000, 0.5000, 0.5000).

---

Entry 5:
VASP calculation (PBE-GGA) on an optimized crystal structure of La4Nd2Er.

The value obtained for the size of the total moment is 0.00 μB per formula unit. The calculation puts the energy above the lowest structure with this stoichiometry at 0.1772 eV/atom. Its volume is 36.2 A^3/atom. The value obtained for the formation energy is 194.9 meV/atom. For the density of states at the Fermi level, the calculation gives 1.3399 states/eV/atom.

It has space group Imma (No. 74), with a = 6.9746 Å, b = 11.7133 Å, c = 12.3925 Å, α = 90.00°, β = 90.00° and γ = 90.00°. The inequivalent atoms are La at (0.0000, 0.0047, 0.1479), La at (0.2191, 0.2500, 0.9934), Nd at (0.0000, 0.0000, 0.5000), Nd at (0.0000, 0.2500, 0.7173) and Er at (0.2500, 0.2500, 0.2500).

---

Entry 6:
VASP calculation (PBE-GGA) on an optimized crystal structure of CrPtBr.

The value obtained for the size of the total moment is 3.00 μB per formula unit. The calculation puts the energy above the lowest structure with this stoichiometry at 0.0000 eV/atom. Its volume is 20.9 A^3/atom. For the uncorrected formation energy, the calculation gives 0.01 eV per atom.

It has space group P3m1 (No. 156), with a = 3.4755 Å, b = 3.4755 Å, c = 5.9854 Å, α = 90.00°, β = 90.00° and γ = 120.00°. The inequivalent atoms are Cr at (0.0000, 0.0000, 0.0000), Pt at (0.6667, 0.3333, 0.2447) and Br at (0.3333, 0.6667, 0.7291).